Entry 1:
LaErAg2Sn2 after structural relaxation. Source: the Open Quantum Materials Database, functional PBE.

Values from the calculation:
The value obtained for the spin magnetization is 0.001 μB per formula unit. As for the total energy: -4.4725 eV per atom. The symmetry is P3m1 (156).

a = 4.768 Å, b = 4.768 Å, c = 7.570 Å
α = 90.00°, β = 90.00°, γ = 120.00°
Fractional coordinates of all 6 atoms:
La (0.000, 0.000, 0.000)
Er (0.000, 0.000, 0.503)
Ag (0.333, 0.667, 0.682)
Ag (0.667, 0.333, 0.227)
Sn (0.333, 0.667, 0.288)
Sn (0.667, 0.333, 0.771)



Entry 2:
Tb2PtAu after structural relaxation. Source: the Open Quantum Materials Database, functional PBE.

Values from the calculation:
The value obtained for the spin magnetization is 0.001 μB per formula unit. As for the total energy: -5.7178 eV per atom. The symmetry is Amm2 (38). For the formation energy from the elements, the calculation gives -1.073 eV per atom.

a = 4.599 Å, b = 5.663 Å, c = 5.663 Å
α = 39.03°, β = 90.00°, γ = 90.00°
Fractional coordinates of all 4 atoms:
Tb (0.000, 0.000, 0.000)
Tb (0.500, 0.277, 0.277)
Pt (0.000, 0.728, 0.728)
Au (0.500, 0.552, 0.552)



Entry 3:
Sr2Cd3O5 after structural relaxation. Source: the Open Quantum Materials Database, functional PBE.

Values from the calculation:
As for the total energy: -4.6089 eV per atom. The symmetry is Cmmm (65). The calculation puts the distance to the lowest polymorph of the same formula at 0.73 eV per formula unit.

a = 10.991 Å, b = 10.991 Å, c = 3.333 Å
α = 90.00°, β = 90.00°, γ = 156.95°
Fractional coordinates of all 10 atoms:
Sr (0.099, 0.901, 0.000)
Sr (0.901, 0.099, 0.000)
Cd (0.298, 0.702, 0.500)
Cd (0.500, 0.500, 0.500)
Cd (0.702, 0.298, 0.500)
O (0.000, 0.000, 0.500)
O (0.194, 0.806, 0.500)
O (0.400, 0.600, 0.500)
O (0.600, 0.400, 0.500)
O (0.806, 0.194, 0.500)



Entry 4:
HfSi2Ir after structural relaxation. Source: the Open Quantum Materials Database, functional PBE.

Values from the calculation:
The value obtained for the spin magnetization is 0.002 μB per formula unit. As for the total energy: -8.0309 eV per atom. The symmetry is P2_1/m (11).

a = 5.023 Å, b = 4.016 Å, c = 6.316 Å
α = 90.00°, β = 100.63°, γ = 90.00°
Fractional coordinates of all 8 atoms:
Hf (0.177, 0.250, 0.202)
Hf (0.823, 0.750, 0.798)
Si (0.249, 0.750, 0.491)
Si (0.342, 0.750, 0.949)
Si (0.658, 0.250, 0.051)
Si (0.751, 0.250, 0.509)
Ir (0.314, 0.250, 0.716)
Ir (0.686, 0.750, 0.284)